Density functional theory data (GGA-PBE) for a relaxed Hf4TiS crystal.

```
Hf4TiS
1.0
5.630 -1.674 0.000
5.630 1.674 0.000
-4.713 0.000 6.554
Hf Ti S
4 1 1
Direct
0.093 0.093 0.366
0.260 0.260 0.163
0.740 0.740 0.837
0.907 0.907 0.634
0.500 0.500 0.000
0.500 0.500 0.500
```

ρ: 10.68 g/cm³
E_tot: -9.020 eV/atom
SG: C2/m, No. 12
N(E_F): 1.083 states/eV/atom
uncorrected formation energy: -0.38 eV/atom